No. 1
Material: NdHo2Lu
Method: DFT, GGA-PBE
State: optimized geometry

POSCAR file:
```
NdHo2Lu
1.0
3.543 0.000 0.000
0.000 3.543 0.000
0.000 0.000 10.068
Nd Ho Lu
1 2 1
Direct
0.500 0.500 0.500
0.000 0.000 0.243
0.000 0.000 0.757
0.500 0.500 0.000
```

## Properties
total moment	0.000	μB/cell
total DFT energy (no corrections)	-4.58	eV/atom
space-group type	P4/mmm (123)
DFT formation energy	30	meV/atom

---

No. 2
Material: PmSnRuAu
Method: DFT, GGA-PBE
State: optimized geometry

POSCAR file:
```
PmSnRuAu
1.0
-2.807 -3.949 -0.696
1.306 -3.383 -3.288
1.547 -4.397 1.495
Pm Au Ru Sn
1 1 1 1
Direct
0.250 0.250 0.250
0.500 0.500 0.500
0.000 0.000 0.000
0.750 0.750 0.750
```

## Properties
total moment	0.000	μB/cell
total DFT energy (no corrections)	-5.58	eV/atom
space-group type	F-43m (216)
DFT formation energy	-258	meV/atom